(1)
LiY | PBEsol | optimized geometry

a b c (Å): 3.248 3.248 5.258
angles (deg): 90.00 90.00 110.13
Fractional positions:
1 Y 0.500 0.500 0.500
2 Li 0.000 0.000 0.000

Values from the calculation:
The calculation puts the energy above the most stable polymorph in this dataset at 128 meV/atom. As for the size of the total moment: 0.0 μB/f.u. As for the calculated formation energy: 195 meV per atom. The total energy is -8.398 eV/f.u.

(2)
Li3Y | PBEsol | optimized geometry

a b c (Å): 3.460 3.460 7.456
angles (deg): 90.00 90.00 90.00
Fractional positions:
1 Y 0.500 0.500 0.500
2 Li 0.000 0.000 0.791
3 Li 0.500 0.500 0.000
4 Li 0.000 0.000 0.209

Values from the calculation:
The calculation puts the energy above the most stable polymorph in this dataset at 4 meV/atom. As for the size of the total moment: 0.0 μB/f.u. As for the calculated formation energy: 109 meV per atom. The total energy is -12.284 eV/f.u.